P:
Compound: Zn3Cu2
Source: Alexandria via LeMat-Bulk
Functional: PBE
Structure: optimized geometry

space group: R32, No. 155
size of the total moment: 0.00 μB per cell

Unit cell a=4.349 b=4.349 c=4.349 alpha=84.05 beta=95.95 gamma=84.05
Element x y z (fractional)
Cu 0.315 0.685 0.315
Cu 0.685 0.315 0.685
Zn 0.000 0.234 0.234
Zn 0.766 0.766 0.000
Zn 0.234 0.000 0.766

Q:
Compound: Zn3Cu2
Source: Alexandria via LeMat-Bulk
Functional: PBE
Structure: optimized geometry

space group: R-3m, No. 166
size of the total moment: 0.00 μB per cell

Unit cell a=10.784 b=2.699 c=2.699 alpha=60.00 beta=97.19 gamma=97.19
Element x y z (fractional)
Zn 0.000 0.000 0.000
Zn 0.392 0.797 0.797
Zn 0.608 0.203 0.203
Cu 0.196 0.399 0.399
Cu 0.804 0.601 0.601

R:
Compound: Zn3Cu2
Source: Alexandria via LeMat-Bulk
Functional: PBE
Structure: optimized geometry

space group: C2/c, No. 15
size of the total moment: 0.00 μB per cell

Unit cell a=3.890 b=6.872 c=6.872 alpha=115.06 beta=106.01 gamma=106.01
Element x y z (fractional)
Zn 0.461 0.780 0.624
Zn 0.000 0.000 0.500
Zn 0.039 0.376 0.220
Zn 0.500 0.500 0.000
Zn 0.961 0.624 0.780
Zn 0.539 0.220 0.376
Cu 0.750 0.228 0.772
Cu 0.250 0.074 0.926
Cu 0.250 0.772 0.228
Cu 0.750 0.926 0.074

The structure shown above that is least stable: P.